No. 1
Entry from Alexandria via LeMat-Bulk: a relaxed Zn2FeP crystal (PBEsol).

a b c (Å): 8.0372 8.0372 8.0372
angles (deg): 19.74 19.74 19.74
Fractional positions:
Zn 0.0000 0.0000 0.0000
Zn 0.2409 0.2409 0.2409
Fe 0.4901 0.4901 0.4901
P 0.7612 0.7612 0.7612

Values from the calculation:
- ΔE_f: -82 meV/atom
- DFT total energy: -0.1676 Ha/atom
- Space-group type: R3m, No. 160
- Fermi-level density of states: 0.510 states/eV/atom
- Total moment: 0.41 μB per formula unit

No. 2
Entry from Alexandria via LeMat-Bulk: a relaxed Zn2Fe2P crystal (PBEsol).

a b c (Å): 6.7712 6.7712 6.7712
angles (deg): 152.67 152.67 39.03
Fractional positions:
Zn 0.2500 0.7500 0.5000
Zn 0.7500 0.2500 0.5000
Fe 0.0870 0.0870 0.0000
Fe 0.9130 0.9130 0.0000
P 0.5000 0.5000 0.0000

Values from the calculation:
- ΔE_f: 258 meV/atom
- DFT total energy: -0.1881 Ha/atom
- Space-group type: I4/mmm, No. 139
- Fermi-level density of states: 0.817 states/eV/atom
- Total moment: 3.90 μB per formula unit

No. 3
Entry from Alexandria via LeMat-Bulk: a relaxed ZnFeP4 crystal (PBEsol).

a b c (Å): 4.9473 4.9473 4.9473
angles (deg): 60.00 60.00 60.00
Fractional positions:
Zn 0.0000 0.0000 0.0000
Fe 0.2500 0.2500 0.2500
P 0.1267 0.6244 0.6244
P 0.6244 0.1267 0.6244
P 0.6244 0.6244 0.1267
P 0.6244 0.6244 0.6244

Values from the calculation:
- ΔE_f: 660 meV/atom
- DFT total energy: -0.1822 Ha/atom
- Space-group type: F-43m, No. 216
- Fermi-level density of states: 0.595 states/eV/atom
- Total moment: 3.04 μB per formula unit

No. 4
Entry from Alexandria via LeMat-Bulk: a relaxed Zn2FeP crystal (PBEsol).

a b c (Å): 6.3730 6.3730 6.3730
angles (deg): 157.07 147.69 39.99
Fractional positions:
Zn 0.1869 0.1869 0.0000
Zn 0.8131 0.8131 0.0000
Fe 0.0000 0.5000 0.5000
P 0.5000 0.0000 0.5000

Values from the calculation:
- ΔE_f: -125 meV/atom
- DFT total energy: -0.1692 Ha/atom
- Space-group type: Immm, No. 71
- Fermi-level density of states: 0.610 states/eV/atom
- Total moment: 0.00 μB per formula unit

No. 5
Entry from Alexandria via LeMat-Bulk: a relaxed Zn2FeP crystal (PBEsol).

a b c (Å): 3.5276 3.5834 3.9675
angles (deg): 90.00 90.00 90.00
Fractional positions:
Zn 0.0000 0.0000 0.0000
Zn 0.5000 0.5000 0.0000
Fe 0.0000 0.5000 0.5000
P 0.5000 0.0000 0.5000

Values from the calculation:
- ΔE_f: 121 meV/atom
- DFT total energy: -0.1602 Ha/atom
- Space-group type: Pmmm, No. 47
- Fermi-level density of states: 0.944 states/eV/atom
- Total moment: 1.79 μB per formula unit

No. 6
Entry from Alexandria via LeMat-Bulk: a relaxed Zn2FeP crystal (PBEsol).

a b c (Å): 3.3118 3.3118 4.6847
angles (deg): 90.00 90.00 90.00
Fractional positions:
Zn 0.0000 0.0000 0.2460
Zn 0.0000 0.0000 0.7540
Fe 0.5000 0.5000 0.0000
P 0.5000 0.5000 0.5000

Values from the calculation:
- ΔE_f: 49 meV/atom
- DFT total energy: -0.1628 Ha/atom
- Space-group type: P4/mmm, No. 123
- Fermi-level density of states: 0.609 states/eV/atom
- Total moment: 1.67 μB per formula unit

No. 7
Entry from Alexandria via LeMat-Bulk: a relaxed ZrFeP2 crystal (PBEsol).

a b c (Å): 3.2566 3.2566 5.3843
angles (deg): 90.00 90.00 90.00
Fractional positions:
Zr 0.0000 0.0000 0.0000
Fe 0.5000 0.5000 0.3606
P 0.0000 0.0000 0.4981
P 0.5000 0.5000 0.7887

Values from the calculation:
- ΔE_f: -614 meV/atom
- DFT total energy: -0.2949 Ha/atom
- Space-group type: P4mm, No. 99
- Fermi-level density of states: 0.600 states/eV/atom
- Total moment: 1.52 μB per formula unit

No. 8
Entry from Alexandria via LeMat-Bulk: a relaxed Zr2Fe12P7 crystal (PBEsol).

a b c (Å): 8.7337 8.7337 3.5455
angles (deg): 90.00 90.00 120.00
Fractional positions:
Zr 0.0000 0.0000 0.0000
Zr 0.3333 0.6667 0.5000
Fe 0.0355 0.7631 0.5000
Fe 0.1032 0.3852 0.0000
Fe 0.2369 0.2725 0.5000
Fe 0.2820 0.8968 0.0000
Fe 0.4492 0.2353 0.0000
Fe 0.5110 0.0573 0.5000
Fe 0.5463 0.4890 0.5000
Fe 0.6148 0.7180 0.0000
Fe 0.7275 0.9645 0.5000
Fe 0.7647 0.2139 0.0000
Fe 0.7861 0.5508 0.0000
Fe 0.9427 0.4537 0.5000
P 0.0705 0.6229 0.0000
P 0.2538 0.0352 0.5000
P 0.3771 0.4476 0.0000
P 0.5524 0.9295 0.0000
P 0.6667 0.3333 0.5000
P 0.7814 0.7462 0.5000
P 0.9648 0.2186 0.5000

Values from the calculation:
- ΔE_f: -862 meV/atom
- DFT total energy: -0.3227 Ha/atom
- Space-group type: P-6, No. 174
- Fermi-level density of states: 0.693 states/eV/atom
- Total moment: 0.78 μB per formula unit

No. 9
Entry from Alexandria via LeMat-Bulk: a relaxed ZrFeP2 crystal (PBEsol).

a b c (Å): 4.3751 4.3751 4.5556
angles (deg): 104.75 104.75 42.22
Fractional positions:
Zr 0.0000 0.0000 0.0000
Fe 0.7708 0.7708 0.4035
P 0.2447 0.2447 0.7367
P 0.4923 0.4923 0.4994

Values from the calculation:
- ΔE_f: -603 meV/atom
- DFT total energy: -0.2944 Ha/atom
- Space-group type: Cm, No. 8
- Fermi-level density of states: 0.516 states/eV/atom
- Total moment: 0.00 μB per formula unit

No. 10
Entry from Alexandria via LeMat-Bulk: a relaxed FePtPb crystal (PBEsol).

a b c (Å): 4.1582 4.1582 3.7034
angles (deg): 90.00 90.00 120.00
Fractional positions:
Fe 0.0000 0.0000 0.0000
Pt 0.3333 0.6667 0.8380
Pb 0.6667 0.3333 0.4145

Values from the calculation:
- ΔE_f: 336 meV/atom
- DFT total energy: -0.2317 Ha/atom
- Space-group type: P3m1, No. 156
- Fermi-level density of states: 0.948 states/eV/atom
- Total moment: 2.92 μB per formula unit

No. 11
Entry from Alexandria via LeMat-Bulk: a relaxed FePtPb2 crystal (PBEsol).

a b c (Å): 3.2619 3.2619 7.9490
angles (deg): 90.00 90.00 90.00
Fractional positions:
Fe 0.0000 0.0000 0.0000
Pt 0.5000 0.5000 0.8586
Pb 0.0000 0.0000 0.6158
Pb 0.5000 0.5000 0.2368

Values from the calculation:
- ΔE_f: 128 meV/atom
- DFT total energy: -0.2151 Ha/atom
- Space-group type: P4mm, No. 99
- Fermi-level density of states: 0.773 states/eV/atom
- Total moment: 3.07 μB per formula unit

No. 12
Entry from Alexandria via LeMat-Bulk: a relaxed FePtPb crystal (PBEsol).

a b c (Å): 4.3812 4.3812 4.3812
angles (deg): 60.00 60.00 60.00
Fractional positions:
Fe 0.0000 0.0000 0.0000
Pt 0.2500 0.2500 0.2500
Pb 0.5000 0.5000 0.5000

Values from the calculation:
- ΔE_f: 232 meV/atom
- DFT total energy: -0.2356 Ha/atom
- Space-group type: F-43m, No. 216
- Fermi-level density of states: 0.974 states/eV/atom
- Total moment: 3.49 μB per formula unit